# 1
SrCaSmIn | the Alexandria database | PBE | optimized geometry; space group = F-43m; energy relative to the elements = -133 meV per atom; energy = -2.92 eV per atom; DOS at the Fermi energy = 14.220 states/eV per cell
1.0
8.159 0.000 0.000
0.000 8.159 0.000
0.000 0.000 8.159
Sr Ca Sm In
4 4 4 4
Direct
0.000 0.000 0.000 Sr
0.000 0.500 0.500 Sr
0.500 0.000 0.500 Sr
0.500 0.500 0.000 Sr
0.250 0.250 0.750 Ca
0.250 0.750 0.250 Ca
0.750 0.250 0.250 Ca
0.750 0.750 0.750 Ca
0.000 0.000 0.500 Sm
0.000 0.500 0.000 Sm
0.500 0.000 0.000 Sm
0.500 0.500 0.500 Sm
0.250 0.250 0.250 In
0.250 0.750 0.750 In
0.750 0.250 0.750 In
0.750 0.750 0.250 In

=====

# 2
CeDySbAu | the Alexandria database | PBE | optimized geometry; raw formation energy = -0.73 eV per atom; space group = F-43m; energy = -5.22 eV per atom; DOS at the Fermi energy = 38.499 states/eV per cell
1.0
7.481 0.000 0.000
0.000 7.481 0.000
0.000 0.000 7.481
Ce Dy Sb Au
4 4 4 4
Direct
0.000 0.000 0.000 Ce
0.000 0.500 0.500 Ce
0.500 0.000 0.500 Ce
0.500 0.500 0.000 Ce
0.000 0.000 0.500 Dy
0.000 0.500 0.000 Dy
0.500 0.000 0.000 Dy
0.500 0.500 0.500 Dy
0.250 0.250 0.250 Sb
0.250 0.750 0.750 Sb
0.750 0.250 0.750 Sb
0.750 0.750 0.250 Sb
0.250 0.250 0.750 Au
0.250 0.750 0.250 Au
0.750 0.250 0.250 Au
0.750 0.750 0.750 Au

=====

# 3
Tm3Ga8Au3 | the Alexandria database | PBE | optimized geometry; space group = Immm; energy relative to the elements = -508 meV per atom; energy = -3.90 eV per atom; DOS at the Fermi energy = 3.553 states/eV per cell
1.0
-2.156 4.838 6.336
2.156 -4.838 6.336
2.156 4.838 -6.336
Tm Ga Au
3 8 3
Direct
0.000 0.000 0.000 Tm
0.308 0.308 0.000 Tm
0.692 0.692 0.000 Tm
0.036 0.663 0.373 Ga
0.139 0.859 0.280 Ga
0.290 0.663 0.627 Ga
0.422 0.141 0.280 Ga
0.578 0.859 0.720 Ga
0.710 0.337 0.373 Ga
0.861 0.141 0.720 Ga
0.964 0.337 0.627 Ga
0.292 0.500 0.792 Au
0.500 0.000 0.500 Au
0.708 0.500 0.208 Au

=====

# 4
ReIr2Cl | the Alexandria database | PBE | optimized geometry; offset from the most stable computed form = 137 meV per atom; raw formation energy = 0.43 eV per atom; space group = Pmmm; energy = -7.57 eV per atom; DOS at the Fermi energy = 4.103 states/eV per cell
1.0
2.825 0.000 0.000
0.000 3.560 0.000
0.000 0.000 6.802
Re Ir Cl
1 2 1
Direct
0.000 0.000 0.000 Re
0.500 0.500 0.199 Ir
0.500 0.500 0.801 Ir
0.500 0.000 0.500 Cl

=====

# 5
CeNd4Tl5 | the Alexandria database | PBE | optimized geometry; space group = P4/mmm; energy relative to the elements = -357 meV per atom; energy = -4.04 eV per atom; DOS at the Fermi energy = 14.787 states/eV per cell
1.0
3.723 0.000 0.000
0.000 3.723 0.000
0.000 0.000 21.441
Ce Nd Tl
1 4 5
Direct
0.000 0.000 0.000 Ce
0.000 0.000 0.201 Nd
0.000 0.000 0.400 Nd
0.000 0.000 0.600 Nd
0.000 0.000 0.799 Nd
0.500 0.500 0.100 Tl
0.500 0.500 0.300 Tl
0.500 0.500 0.500 Tl
0.500 0.500 0.700 Tl
0.500 0.500 0.900 Tl

=====

# 6
Cd2TeW | the Alexandria database | PBE | optimized geometry; raw formation energy = 0.58 eV per atom; space group = Cm; energy = -3.91 eV per atom; DOS at the Fermi energy = 4.946 states/eV per cell
1.0
9.701 0.000 0.000
0.000 3.266 0.000
-0.954 0.000 5.390
Cd Te W
4 2 2
Direct
0.000 0.000 0.000 Cd
0.244 0.000 0.789 Cd
0.500 0.500 0.000 Cd
0.744 0.500 0.789 Cd
0.462 0.000 0.445 Te
0.962 0.500 0.445 Te
0.236 0.500 0.288 W
0.736 0.000 0.288 W

=====

Which value of DOS at the Fermi energy does entry 1 give? 14.220 states/eV per cell

=====

energy of number 5 (CeNd4Tl5)? -4.04 eV per atom

=====

Number 3 is which compound? Tm3Ga8Au3